No. 1
Material: Ba3In2F12
Method: DFT, SCAN
State: PBEsol geometry

Properties
Formation energy (no corrections) ... -3.52 eV per atom
E_tot ... -575.35 eV per cell
Crystal system ... tetragonal
SG ... P4/mbm (127)

abc: 5.628 9.527 9.527
angles: 90.00 90.00 90.00
Fractional coordinates of all 34 atoms:
Ba  0.000  0.500  0.500
Ba  0.000  0.000  0.000
Ba  0.500  0.320  0.820
Ba  0.500  0.820  0.680
Ba  0.500  0.180  0.320
Ba  0.500  0.680  0.180
In  0.000  0.133  0.633
In  0.000  0.633  0.867
In  0.000  0.367  0.133
In  0.000  0.867  0.367
F  0.000  0.294  0.794
F  0.000  0.794  0.706
F  0.000  0.206  0.294
F  0.000  0.706  0.206
F  0.260  0.556  0.725
F  0.260  0.444  0.275
F  0.260  0.275  0.556
F  0.260  0.725  0.444
F  0.740  0.225  0.056
F  0.740  0.056  0.775
F  0.776  0.500  0.000
F  0.776  0.000  0.500
F  0.224  0.000  0.500
F  0.224  0.500  0.000
F  0.260  0.225  0.056
F  0.260  0.056  0.775
F  0.260  0.944  0.225
F  0.260  0.775  0.944
F  0.740  0.275  0.556
F  0.740  0.725  0.444
F  0.740  0.556  0.725
F  0.740  0.444  0.275
F  0.740  0.775  0.944
F  0.740  0.944  0.225

No. 2
Material: BaIrF6
Method: DFT, SCAN
State: PBEsol geometry

Properties
Formation energy (no corrections) ... -2.58 eV per atom
E_tot ... -152.52 eV per cell
Crystal system ... trigonal
SG ... R-3 (148)

abc: 5.449 5.449 6.072
angles: 63.34 63.34 60.00
Each line ends with the local moment (μB).
Fractional coordinates of all 8 atoms:
Ir  0.000  0.000  0.000  0.79
Ba  0.500  0.500  0.500  0.00
F  0.986  0.178  0.223  0.04
F  0.178  0.613  0.223  0.04
F  0.387  0.014  0.777  0.04
F  0.822  0.387  0.777  0.04
F  0.014  0.822  0.777  0.04
F  0.613  0.986  0.223  0.04

No. 3
Material: BaSc2IrF
Method: DFT, SCAN
State: PBEsol geometry

Properties
Formation energy (no corrections) ... -0.82 eV per atom
E_tot ... -146.77 eV per cell
Crystal system ... tetragonal
SG ... P4/mmm (123)

abc: 4.404 4.404 5.068
angles: 90.00 90.00 90.00
Fractional coordinates of all 5 atoms:
Sc  0.000  0.500  0.000
Sc  0.500  0.000  0.000
Ir  0.500  0.500  0.500
Ba  0.000  0.000  0.500
F  0.000  0.000  0.000

No. 4
Material: KBa2F2
Method: DFT, SCAN
State: PBEsol geometry

Properties
Formation energy (no corrections) ... -2.40 eV per atom
E_tot ... -106.49 eV per cell
Crystal system ... tetragonal
SG ... I4/mmm (139)

abc: 4.433 4.433 10.724
angles: 101.93 101.93 90.00
Each line ends with the local moment (μB).
Fractional coordinates of all 5 atoms:
K  0.000  0.000  0.000  0.01
Ba  0.321  0.321  0.641  0.09
Ba  0.679  0.679  0.359  0.09
F  0.250  0.750  0.500  0.02
F  0.750  0.250  0.500  0.02

No. 5
Material: KBa3F
Method: DFT, SCAN
State: PBEsol geometry

Properties
Formation energy (no corrections) ... 0.17 eV per atom
E_tot ... -129.65 eV per cell
Crystal system ... cubic
SG ... Pm-3m (221)

abc: 7.055 7.055 7.055
angles: 90.00 90.00 90.00
Each line ends with the local moment (μB).
Fractional coordinates of all 5 atoms:
K  0.000  0.000  0.000  0.11
Ba  0.000  0.500  0.000  0.29
Ba  0.000  0.000  0.500  0.29
Ba  0.500  0.000  0.000  0.29
F  0.500  0.500  0.500  0.01

No. 6
Material: KBa4Ti5O14F
Method: DFT, SCAN
State: PBEsol geometry

Properties
Formation energy (no corrections) ... -3.32 eV per atom
E_tot ... -420.56 eV per cell
Crystal system ... tetragonal
SG ... P4/mmm (123)

abc: 3.961 3.961 20.057
angles: 90.00 90.00 90.00
Fractional coordinates of all 25 atoms:
K  0.000  0.000  0.500
Ba  0.000  0.000  0.698
Ba  0.000  0.000  0.900
Ba  0.000  0.000  0.100
Ba  0.000  0.000  0.302
Ti  0.500  0.500  0.801
Ti  0.500  0.500  0.199
Ti  0.500  0.500  0.000
Ti  0.500  0.500  0.604
Ti  0.500  0.500  0.396
O  0.000  0.500  0.801
O  0.000  0.500  0.000
O  0.000  0.500  0.199
O  0.000  0.500  0.398
O  0.000  0.500  0.602
O  0.500  0.000  0.801
O  0.500  0.500  0.701
O  0.500  0.000  0.000
O  0.500  0.000  0.199
O  0.500  0.500  0.100
O  0.500  0.500  0.900
O  0.500  0.000  0.398
O  0.500  0.000  0.602
O  0.500  0.500  0.299
F  0.500  0.500  0.500

No. 7
Material: KBaSeF2
Method: DFT, SCAN
State: PBEsol geometry

Properties
Formation energy (no corrections) ... -2.11 eV per atom
E_tot ... -85.58 eV per cell
Crystal system ... tetragonal
SG ... P4/mmm (123)

abc: 4.793 4.793 5.377
angles: 90.00 90.00 90.00
Fractional coordinates of all 5 atoms:
K  0.000  0.000  0.000
Ba  0.500  0.500  0.500
Se  0.000  0.000  0.500
F  0.000  0.500  0.000
F  0.500  0.000  0.000

No. 8
Material: BaLa3F
Method: DFT, SCAN
State: PBEsol geometry

Properties
Formation energy (no corrections) ... -0.96 eV per atom
E_tot ... -177.19 eV per cell
Crystal system ... cubic
SG ... Pm-3m (221)

abc: 5.295 5.295 5.295
angles: 90.00 90.00 90.00
Fractional coordinates of all 5 atoms:
F  0.000  0.000  0.000
Ba  0.500  0.500  0.500
La  0.000  0.500  0.000
La  0.000  0.000  0.500
La  0.500  0.000  0.000

No. 9
Material: BaSrLa2F
Method: DFT, SCAN
State: PBEsol geometry

Properties
Formation energy (no corrections) ... -0.96 eV per atom
E_tot ... -156.38 eV per cell
Crystal system ... tetragonal
SG ... P4/mmm (123)

abc: 5.242 5.242 5.885
angles: 90.00 90.00 90.00
Fractional coordinates of all 5 atoms:
Sr  0.500  0.500  0.500
F  0.000  0.000  0.000
Ba  0.000  0.000  0.500
La  0.000  0.500  0.000
La  0.500  0.000  0.000

No. 10
Material: Ba2LaTcF
Method: DFT, SCAN
State: PBEsol geometry

Properties
Formation energy (no corrections) ... -0.49 eV per atom
E_tot ... -163.28 eV per cell
Crystal system ... tetragonal
SG ... P4/mmm (123)

abc: 5.100 5.140 5.140
angles: 90.00 90.00 90.00
Each line ends with the local moment (μB).
Fractional coordinates of all 5 atoms:
Tc  0.500  0.500  0.500  2.24
F  0.000  0.000  0.000  0.00
Ba  0.000  0.000  0.500  -0.14
Ba  0.000  0.500  0.000  -0.14
La  0.500  0.000  0.000  -0.33

No. 11
Material: BaLiF3
Method: DFT, SCAN
State: PBEsol geometry

Properties
Formation energy (no corrections) ... -3.75 eV per atom
E_tot ... -71.32 eV per cell
Crystal system ... cubic
SG ... Pm-3m (221)

abc: 3.969 3.969 3.969
angles: 90.00 90.00 90.00
Fractional coordinates of all 5 atoms:
F  0.500  0.500  0.000
F  0.000  0.500  0.500
F  0.500  0.000  0.500
Ba  0.000  0.000  0.000
Li  0.500  0.500  0.500

No. 12
Material: BaLiZr2F11
Method: DFT, SCAN
State: PBEsol geometry

Properties
Formation energy (no corrections) ... -3.98 eV per atom
E_tot ... -403.99 eV per cell
Crystal system ... tetragonal
SG ... I4/m (87)

abc: 8.052 8.052 8.052
angles: 91.82 118.95 118.95
Fractional coordinates of all 30 atoms:
Li  0.500  0.750  0.250
Li  0.500  0.250  0.750
Ba  0.000  0.808  0.808
Ba  0.000  0.192  0.192
Zr  0.146  0.362  0.784
Zr  0.854  0.638  0.216
Zr  0.578  0.216  0.362
Zr  0.422  0.784  0.638
F  0.500  0.000  0.500
F  0.500  0.500  0.000
F  0.931  0.119  0.812
F  0.069  0.881  0.188
F  0.307  0.188  0.119
F  0.693  0.812  0.881
F  0.215  0.161  0.726
F  0.785  0.511  0.946
F  0.435  0.946  0.161
F  0.565  0.726  0.511
F  0.785  0.839  0.274
F  0.215  0.489  0.054
F  0.565  0.054  0.839
F  0.435  0.274  0.489
F  0.866  0.189  0.467
F  0.134  0.600  0.322
F  0.722  0.322  0.189
F  0.278  0.467  0.600
F  0.134  0.811  0.533
F  0.866  0.400  0.678
F  0.278  0.678  0.811
F  0.722  0.533  0.400

No. 13
Material: BaMgF2
Method: DFT, SCAN
State: PBEsol geometry

Properties
Formation energy (no corrections) ... -2.39 eV per atom
E_tot ... -61.15 eV per cell
Crystal system ... trigonal
SG ... R-3m (166)

abc: 3.506 3.506 7.449
angles: 76.39 76.39 60.00
Each line ends with the local moment (μB).
Fractional coordinates of all 4 atoms:
Mg  0.500  0.500  0.500  0.02
Ba  0.000  0.000  0.000  0.51
F  0.871  0.871  0.388  0.03
F  0.129  0.129  0.612  0.03

No. 14
Material: Ba2MgF
Method: DFT, SCAN
State: PBEsol geometry

Properties
Formation energy (no corrections) ... -1.39 eV per atom
E_tot ... -186.36 eV per cell
Crystal system ... tetragonal
SG ... I-42d (122)

abc: 7.304 7.304 7.304
angles: 103.70 112.43 112.43
Each line ends with the local moment (μB).
Fractional coordinates of all 8 atoms:
Mg  0.000  0.000  0.000  0.01
Mg  0.500  0.750  0.250  0.01
Ba  0.898  0.523  0.125  0.08
Ba  0.102  0.227  0.625  0.08
Ba  0.602  0.375  0.477  0.08
Ba  0.398  0.875  0.773  0.08
F  0.000  0.500  0.500  0.01
F  0.500  0.250  0.750  0.01

No. 15
Material: BaMgF2
Method: DFT, SCAN
State: PBEsol geometry

Properties
Formation energy (no corrections) ... -2.38 eV per atom
E_tot ... -122.24 eV per cell
Crystal system ... tetragonal
SG ... I-42d (122)

abc: 5.474 5.474 6.921
angles: 113.29 113.29 90.00
Each line ends with the local moment (μB).
Fractional coordinates of all 8 atoms:
Mg  0.750  0.250  0.500  0.03
Mg  0.500  0.500  0.000  0.03
Ba  0.250  0.750  0.500  0.32
Ba  0.000  0.000  0.000  0.32
F  0.512  0.875  0.250  0.05
F  0.738  0.375  0.250  0.05
F  0.125  0.262  0.750  0.05
F  0.625  0.488  0.750  0.05

No. 16
Material: Ba6Mg7F26
Method: DFT, SCAN
State: PBEsol geometry

Properties
Formation energy (no corrections) ... -3.96 eV per atom
E_tot ... -518.58 eV per cell
Crystal system ... orthorhombic
SG ... Immm (71)

abc: 5.841 10.083 10.083
angles: 73.80 73.16 73.16
Fractional coordinates of all 39 atoms:
Ba  0.351  0.389  0.910
Ba  0.351  0.910  0.389
Ba  0.649  0.090  0.611
Ba  0.649  0.611  0.090
Ba  0.853  0.647  0.647
Ba  0.147  0.353  0.353
F  0.475  0.643  0.872
F  0.010  0.872  0.643
F  0.525  0.128  0.357
F  0.990  0.357  0.128
F  0.525  0.357  0.128
F  0.990  0.128  0.357
F  0.475  0.872  0.643
F  0.010  0.643  0.872
F  0.250  0.612  0.388
F  0.750  0.388  0.612
F  0.750  0.612  0.388
F  0.250  0.388  0.612
F  0.258  0.836  0.164
F  0.742  0.164  0.836
F  0.742  0.836  0.164
F  0.258  0.164  0.836
F  0.128  0.591  0.153
F  0.128  0.153  0.591
F  0.872  0.847  0.409
F  0.872  0.409  0.847
F  0.589  0.911  0.911
F  0.411  0.089  0.089
F  0.089  0.911  0.911
F  0.911  0.089  0.089
F  0.369  0.631  0.631
F  0.631  0.369  0.369
Mg  0.222  0.778  0.778
Mg  0.778  0.222  0.222
Mg  0.000  0.732  0.268
Mg  0.000  0.268  0.732
Mg  0.254  0.000  0.000
Mg  0.746  0.000  0.000
Mg  0.500  0.500  0.500

No. 17
Material: Ba2Mg3F10
Method: DFT, SCAN
State: PBEsol geometry

Properties
Formation energy (no corrections) ... -3.94 eV per atom
E_tot ... -377.14 eV per cell
Crystal system ... monoclinic
SG ... C2/m (12)

abc: 5.939 7.785 9.697
angles: 110.79 107.83 90.00
Each line ends with the local moment (μB).
Fractional coordinates of all 30 atoms:
Ba  0.717  0.315  0.435  0.00
Ba  0.283  0.685  0.565  0.00
Ba  0.614  0.719  0.228  0.00
Ba  0.386  0.281  0.772  0.00
F  0.144  0.974  0.778  0.00
F  0.366  0.026  0.222  0.00
F  0.856  0.026  0.222  0.00
F  0.634  0.974  0.778  0.00
F  0.089  0.525  0.701  0.02
F  0.388  0.475  0.299  0.02
F  0.911  0.475  0.299  0.02
F  0.612  0.525  0.701  0.02
F  0.978  0.818  0.955  0.00
F  0.022  0.182  0.045  0.00
F  0.866  0.257  0.732  0.01
F  0.134  0.743  0.268  0.01
F  0.763  0.720  0.527  0.06
F  0.237  0.280  0.473  0.06
F  0.484  0.818  0.967  0.01
F  0.516  0.182  0.033  0.01
F  0.221  0.500  0.000  0.00
F  0.779  0.500  0.000  0.00
F  0.000  0.000  0.500  0.01
F  0.500  0.000  0.500  0.01
Mg  0.926  0.545  0.851  0.00
Mg  0.074  0.455  0.149  0.00
Mg  0.823  0.985  0.646  0.00
Mg  0.177  0.015  0.354  0.00
Mg  0.255  0.000  0.000  0.00
Mg  0.745  0.000  0.000  0.00

No. 18
Material: BaMgNiF7
Method: DFT, SCAN
State: PBEsol geometry

Properties
Formation energy (no corrections) ... -3.21 eV per atom
E_tot ... -470.15 eV per cell
Crystal system ... monoclinic
SG ... P2_1/c (14)

abc: 5.556 9.332 9.707
angles: 90.00 90.00 93.66
Each line ends with the local moment (μB).
Fractional coordinates of all 40 atoms:
Ba  0.267  0.506  0.684  0.00
Ba  0.733  0.994  0.184  0.00
Ba  0.733  0.494  0.316  0.00
Ba  0.267  0.006  0.816  0.00
Mg  0.694  0.813  0.598  0.00
Mg  0.306  0.687  0.098  0.00
Mg  0.694  0.313  0.902  0.00
Mg  0.306  0.187  0.402  0.00
Ni  0.194  0.810  0.382  0.89
Ni  0.806  0.190  0.618  0.89
Ni  0.194  0.310  0.118  0.89
Ni  0.806  0.690  0.882  0.89
F  0.117  0.122  0.559  0.07
F  0.362  0.365  0.961  0.01
F  0.479  0.739  0.278  0.06
F  0.521  0.261  0.722  0.06
F  0.881  0.363  0.549  -0.04
F  0.265  0.488  0.190  -0.02
F  0.030  0.749  0.221  0.02
F  0.119  0.137  0.049  -0.04
F  0.362  0.865  0.539  0.01
F  0.521  0.761  0.778  0.06
F  0.117  0.622  0.941  0.07
F  0.883  0.878  0.441  0.07
F  0.970  0.751  0.721  0.02
F  0.375  0.879  0.041  0.00
F  0.119  0.637  0.451  -0.04
F  0.881  0.863  0.951  -0.04
F  0.970  0.251  0.779  0.02
F  0.883  0.378  0.059  0.07
F  0.625  0.621  0.541  0.00
F  0.638  0.635  0.039  0.01
F  0.625  0.121  0.959  0.00
F  0.030  0.249  0.279  0.02
F  0.375  0.379  0.459  0.00
F  0.735  0.012  0.690  -0.02
F  0.735  0.512  0.810  -0.02
F  0.265  0.988  0.310  -0.02
F  0.638  0.135  0.461  0.01
F  0.479  0.239  0.222  0.06

No. 19
Material: BaMg2OsF
Method: DFT, SCAN
State: PBEsol geometry

Properties
Formation energy (no corrections) ... -0.05 eV per atom
E_tot ... -125.15 eV per cell
Crystal system ... tetragonal
SG ... P4/mmm (123)

abc: 5.067 5.067 4.645
angles: 90.00 90.00 90.00
Fractional coordinates of all 5 atoms:
Mg  0.000  0.500  0.000
Mg  0.500  0.000  0.000
Os  0.000  0.000  0.000
Ba  0.500  0.500  0.500
F  0.000  0.000  0.500